# FeSe2F, optimized geometry, DFT PBE+U
data_FeSe2F
_chemical_formula_sum 'Fe3 Se6 F3'
_cell_length_a 2.9663
_cell_length_b 2.9663
_cell_length_c 26.9734
_cell_angle_alpha 90.00
_cell_angle_beta 90.00
_cell_angle_gamma 120.00
_symmetry_space_group_name_H-M 'R -3 m'
_symmetry_Int_Tables_number 166
_symmetry_space_group_name_Hall '-R 3 2"'
loop_
_atom_site_label
_atom_site_fract_x
_atom_site_fract_y
_atom_site_fract_z
_atom_site_occupancy
Fe1 0.0000 0.0000 0.0000 1
Se1 0.0000 0.0000 0.0917 1
F1 0.0000 0.0000 0.5000 1
# Total moment in μB/f.u.: 3.7
# Energy above the lowest structure with this stoichiometry in meV/atom: 521.9
# DOS(E_F) in states/eV per atom: 0.899
# V in A^3/atom: 17.128
# E in eV/atom: -3.41